1.
Compound: TeIr2Pb
Source: the Alexandria database
Functional: meta-GGA SCAN
Structure: PBEsol geometry Values from VASP.

The structure in Quantum ESPRESSO input format:
```
&SYSTEM
  ibrav = 0, nat = 4, ntyp = 3
/
ATOMIC_SPECIES
Ir 192.22 Ir.upf
Pb 207.20 Pb.upf
Te 127.60 Te.upf
ATOMIC_POSITIONS crystal
Ir 0.963 0.981 0.944
Ir 0.550 0.275 0.825
Pb 0.044 0.522 0.567
Te 0.443 0.721 0.164
CELL_PARAMETERS angstrom
4.086 -0.039 -0.042
-2.007 3.559 0.042
-1.989 -1.199 6.320
```

Values from the calculation:
As for the symmetry: R3m, No. 160. As for the energy relative to the lowest polymorph listed for this composition: 0.000 eV/atom. The crystal system is trigonal. The uncorrected formation energy comes out at 0.19 eV per atom.

2.
Compound: TeIr2Pb
Source: the Alexandria database
Functional: meta-GGA SCAN
Structure: PBEsol geometry Values from VASP.

The structure in Quantum ESPRESSO input format:
```
&SYSTEM
  ibrav = 0, nat = 4, ntyp = 3
/
ATOMIC_SPECIES
Ir 192.22 Ir.upf
Pb 207.20 Pb.upf
Te 127.60 Te.upf
ATOMIC_POSITIONS crystal
Ir 0.740 0.740 0.481
Ir 0.260 0.260 0.519
Pb 0.500 0.000 0.000
Te 0.000 0.500 0.000
CELL_PARAMETERS angstrom
-2.083 1.628 -1.590
-3.378 -4.109 0.217
0.973 2.897 4.685
```

Values from the calculation:
As for the symmetry: Immm, No. 71. As for the energy relative to the lowest polymorph listed for this composition: 0.686 eV/atom. The crystal system is orthorhombic. The uncorrected formation energy comes out at 0.88 eV per atom.

3.
Compound: TeIr4Pb
Source: the Alexandria database
Functional: meta-GGA SCAN
Structure: PBEsol geometry Values from VASP.

The structure in Quantum ESPRESSO input format:
```
&SYSTEM
  ibrav = 0, nat = 6, ntyp = 3
/
ATOMIC_SPECIES
Ir 192.22 Ir.upf
Pb 207.20 Pb.upf
Te 127.60 Te.upf
ATOMIC_POSITIONS crystal
Ir 0.375 0.375 0.375
Ir 0.375 0.375 0.876
Ir 0.876 0.375 0.375
Ir 0.375 0.876 0.375
Pb 0.750 0.750 0.750
Te 0.000 0.000 0.000
CELL_PARAMETERS angstrom
-3.913 -2.022 3.000
-2.688 -4.291 -1.664
0.672 -4.683 2.454
```

Values from the calculation:
As for the symmetry: F-43m, No. 216. The crystal system is cubic. The uncorrected formation energy comes out at 0.68 eV per atom.

4.
Compound: TeIrPb
Source: the Alexandria database
Functional: meta-GGA SCAN
Structure: PBEsol geometry Values from VASP.

The structure in Quantum ESPRESSO input format:
```
&SYSTEM
  ibrav = 0, nat = 3, ntyp = 3
/
ATOMIC_SPECIES
Ir 192.22 Ir.upf
Pb 207.20 Pb.upf
Te 127.60 Te.upf
ATOMIC_POSITIONS crystal
Ir 0.500 0.500 0.500
Pb 0.750 0.750 0.750
Te 0.000 0.000 0.000
CELL_PARAMETERS angstrom
4.744 0.000 0.000
2.372 4.109 0.000
2.372 1.370 3.874
```

Values from the calculation:
As for the symmetry: F-43m, No. 216. The crystal system is cubic. The uncorrected formation energy comes out at 1.08 eV per atom.

5.
Compound: TiIr3Pb
Source: the Alexandria database
Functional: meta-GGA SCAN
Structure: PBEsol geometry Values from VASP.

The structure in Quantum ESPRESSO input format:
```
&SYSTEM
  ibrav = 0, nat = 5, ntyp = 3
/
ATOMIC_SPECIES
Pb 207.20 Pb.upf
Ir 192.22 Ir.upf
Ti 47.87 Ti.upf
ATOMIC_POSITIONS crystal
Pb 0.500 0.500 0.500
Ir 0.000 0.500 0.000
Ir 0.000 0.000 0.500
Ir 0.500 0.000 0.000
Ti 0.000 0.000 0.000
CELL_PARAMETERS angstrom
4.612 0.000 0.000
0.000 4.612 0.000
0.000 0.000 4.612
```

Values from the calculation:
As for the symmetry: Pm-3m, No. 221. The crystal system is cubic. The energy relative to the elements comes out at 1.064 eV per atom.

6.
Compound: Tl2IrPb
Source: the Alexandria database
Functional: meta-GGA SCAN
Structure: PBEsol geometry Values from VASP.

The structure in Quantum ESPRESSO input format:
```
&SYSTEM
  ibrav = 0, nat = 4, ntyp = 3
/
ATOMIC_SPECIES
Ir 192.22 Ir.upf
Pb 207.20 Pb.upf
Tl 204.38 Tl.upf
ATOMIC_POSITIONS crystal
Ir 0.500 0.000 0.500
Pb 0.764 0.528 0.305
Tl 0.000 0.000 0.992
Tl 0.236 0.472 0.703
CELL_PARAMETERS angstrom
3.181 0.000 0.000
-1.591 3.619 0.027
0.000 -1.221 8.596
```

Values from the calculation:
As for the symmetry: Cm, No. 8. As for the energy relative to the lowest polymorph listed for this composition: 0.019 eV/atom. The crystal system is monoclinic. The energy relative to the elements comes out at 0.300 eV per atom.

7.
Compound: Tl2IrPb
Source: the Alexandria database
Functional: meta-GGA SCAN
Structure: PBEsol geometry Values from VASP.

The structure in Quantum ESPRESSO input format:
```
&SYSTEM
  ibrav = 0, nat = 4, ntyp = 3
/
ATOMIC_SPECIES
Ir 192.22 Ir.upf
Pb 207.20 Pb.upf
Tl 204.38 Tl.upf
ATOMIC_POSITIONS crystal
Ir 0.500 0.500 0.500
Pb 0.250 0.250 0.250
Tl 0.000 0.000 0.000
Tl 0.750 0.750 0.750
CELL_PARAMETERS angstrom
-1.866 -4.148 2.156
3.097 -3.307 2.195
0.041 -0.467 5.012
```

Values from the calculation:
As for the symmetry: F-43m, No. 216. As for the energy relative to the lowest polymorph listed for this composition: 0.313 eV/atom. The crystal system is cubic. The energy relative to the elements comes out at 0.594 eV per atom.

8.
Compound: Tl2IrPb
Source: the Alexandria database
Functional: meta-GGA SCAN
Structure: PBEsol geometry Values from VASP.

The structure in Quantum ESPRESSO input format:
```
&SYSTEM
  ibrav = 0, nat = 4, ntyp = 3
/
ATOMIC_SPECIES
Ir 192.22 Ir.upf
Pb 207.20 Pb.upf
Tl 204.38 Tl.upf
ATOMIC_POSITIONS crystal
Ir 0.000 0.000 0.502
Pb 0.500 0.500 0.308
Tl 0.000 0.000 0.989
Tl 0.500 0.500 0.702
CELL_PARAMETERS angstrom
-0.491 2.513 -1.997
-2.891 0.531 1.379
3.824 5.452 5.918
```

Values from the calculation:
As for the symmetry: P4mm, No. 99. As for the energy relative to the lowest polymorph listed for this composition: 0.000 eV/atom. The crystal system is tetragonal. The energy relative to the elements comes out at 0.281 eV per atom.